1.
First-principles (PBE) data for crystalline MgIrCl at its relaxed geometry, as listed in Alexandria.

## Properties
relative energy among the computed polymorphs	0	meV per atom
N(E_F)	2.33	states/eV per cell

extended XYZ file:
```
6
Lattice="3.654 0.000 0.000 1.774 3.950 0.000 1.081 1.845 10.797" Properties=species:S:1:pos:R:3 pbc="T T T"
Mg 0.000 0.000 0.000
Mg 1.078 1.840 6.767
Ir 2.866 3.023 8.784
Ir 4.696 4.605 8.781
Cl 3.601 3.917 1.553
Cl 2.905 1.864 5.214
```



2.
First-principles (PBE) data for crystalline MgIrCl2 at its relaxed geometry, as listed in Alexandria.

## Properties
relative energy among the computed polymorphs	60	meV per atom
N(E_F)	0.05	states/eV per cell

extended XYZ file:
```
4
Lattice="3.960 0.000 0.000 0.000 3.258 0.000 -1.155 0.000 7.247" Properties=species:S:1:pos:R:3 pbc="T T T"
Mg 0.000 0.000 0.000
Ir 2.027 1.629 0.911
Cl 0.228 1.629 5.844
Cl 2.347 0.000 2.698
```



3.
First-principles (PBE) data for crystalline MgIrCl2 at its relaxed geometry, as listed in Alexandria.

## Properties
relative energy among the computed polymorphs	508	meV per atom
N(E_F)	2.18	states/eV per cell

extended XYZ file:
```
4
Lattice="-1.794 1.794 5.567 1.794 -1.794 5.567 1.794 1.794 -5.567" Properties=species:S:1:pos:R:3 pbc="T T T"
Mg 0.000 0.000 0.000
Ir 0.000 1.794 2.784
Cl 1.794 0.000 2.784
Cl 0.000 0.000 5.567
```



4.
First-principles (PBE) data for crystalline MgIr2Cl at its relaxed geometry, as listed in Alexandria.

## Properties
relative energy among the computed polymorphs	595	meV per atom
N(E_F)	4.72	states/eV per cell

extended XYZ file:
```
4
Lattice="-2.463 2.463 2.668 2.463 -2.463 2.668 2.463 2.463 -2.668" Properties=species:S:1:pos:R:3 pbc="T T T"
Mg 0.000 0.000 0.000
Ir 0.000 0.000 2.668
Ir 0.000 2.463 1.334
Cl 2.463 0.000 1.334
```



5.
First-principles (PBE) data for crystalline MgIrCl2 at its relaxed geometry, as listed in Alexandria.

## Properties
relative energy among the computed polymorphs	168	meV per atom
N(E_F)	2.02	states/eV per cell

extended XYZ file:
```
4
Lattice="-1.894 1.996 6.456 1.894 -1.996 6.456 1.894 1.996 -6.456" Properties=species:S:1:pos:R:3 pbc="T T T"
Mg 0.000 0.000 0.000
Ir 0.000 0.000 6.456
Cl 1.894 0.000 4.794
Cl 0.000 1.996 1.662
```



6.
First-principles (PBE) data for crystalline Mg4IrCl at its relaxed geometry, as listed in Alexandria.

## Properties
DFT total energy	-2.600	eV per atom
N(E_F)	3.95	states/eV per cell

extended XYZ file:
```
6
Lattice="0.000 3.915 3.915 3.915 0.000 3.915 3.915 3.915 0.000" Properties=species:S:1:pos:R:3 pbc="T T T"
Mg 2.946 2.946 2.946
Mg 4.884 4.884 2.946
Mg 4.884 2.946 4.884
Mg 2.946 4.884 4.884
Ir 5.873 5.873 5.873
Cl 0.000 0.000 0.000
```



7.
First-principles (PBE) data for crystalline MgIr2Cl at its relaxed geometry, as listed in Alexandria.

## Properties
relative energy among the computed polymorphs	51	meV per atom
N(E_F)	2.99	states/eV per cell

extended XYZ file:
```
4
Lattice="-1.423 2.064 5.918 1.423 -2.064 5.918 1.423 2.064 -5.918" Properties=species:S:1:pos:R:3 pbc="T T T"
Mg 0.000 0.000 0.000
Ir 1.423 0.000 2.593
Ir 0.000 2.064 3.325
Cl 0.000 0.000 5.918
```



8.
First-principles (PBE) data for crystalline MgIrCl2 at its relaxed geometry, as listed in Alexandria.

## Properties
relative energy among the computed polymorphs	378	meV per atom
N(E_F)	2.33	states/eV per cell

extended XYZ file:
```
4
Lattice="3.077 -3.184 0.000 3.077 3.184 0.000 0.000 0.000 3.954" Properties=species:S:1:pos:R:3 pbc="T T T"
Mg 0.000 0.000 0.000
Ir 3.077 0.000 0.000
Cl 3.077 1.441 1.977
Cl 3.077 -1.441 1.977
```



9.
First-principles (PBE) data for crystalline MgIrCl2 at its relaxed geometry, as listed in Alexandria.

## Properties
relative energy among the computed polymorphs	241	meV per atom
N(E_F)	1.86	states/eV per cell

extended XYZ file:
```
4
Lattice="1.648 0.951 7.807 -1.648 0.951 7.807 0.000 -1.903 7.807" Properties=species:S:1:pos:R:3 pbc="T T T"
Mg 0.000 0.000 0.000
Ir 0.000 0.000 11.711
Cl 0.000 0.000 9.374
Cl 0.000 0.000 14.048
```



10.
First-principles (PBE) data for crystalline MgIrCl2 at its relaxed geometry, as listed in Alexandria.

## Properties
relative energy among the computed polymorphs	709	meV per atom
N(E_F)	3.23	states/eV per cell

extended XYZ file:
```
4
Lattice="0.000 3.261 3.261 3.261 0.000 3.261 3.261 3.261 0.000" Properties=species:S:1:pos:R:3 pbc="T T T"
Mg 0.000 0.000 0.000
Ir 3.261 3.261 3.261
Cl 1.631 1.631 1.631
Cl 4.892 4.892 4.892
```



11.
First-principles (PBE) data for crystalline MgIrCl at its relaxed geometry, as listed in Alexandria.

## Properties
relative energy among the computed polymorphs	1353	meV per atom
N(E_F)	2.36	states/eV per cell

extended XYZ file:
```
3
Lattice="0.000 3.131 3.131 3.131 0.000 3.131 3.131 3.131 0.000" Properties=species:S:1:pos:R:3 pbc="T T T"
Mg 0.000 0.000 0.000
Ir 1.565 1.565 1.565
Cl 4.696 4.696 4.696
```



12.
First-principles (PBE) data for crystalline MgIr2Cl at its relaxed geometry, as listed in Alexandria.

## Properties
relative energy among the computed polymorphs	0	meV per atom
N(E_F)	3.00	states/eV per cell

extended XYZ file:
```
4
Lattice="4.207 -1.473 0.000 4.207 1.473 0.000 -0.795 0.000 6.652" Properties=species:S:1:pos:R:3 pbc="T T T"
Mg 0.000 0.000 0.000
Ir 3.657 0.000 2.382
Ir 5.916 0.000 1.622
Cl 2.744 0.000 4.862
```